[1]
A plane-wave DFT calculation with GGA-PBE was carried out for a relaxed Nb3Re2 crystal.

Cell lengths 3.214, 3.214, 16.275 Å; angles 90.00, 90.00, 90.00 degrees
Positions (direct):
Nb  0.000  0.000  0.697
Nb  0.000  0.000  0.106
Nb  0.000  0.000  0.500
Nb  0.000  0.000  0.894
Nb  0.500  0.500  0.000
Nb  0.000  0.000  0.303
Re  0.500  0.500  0.204
Re  0.500  0.500  0.796
Re  0.500  0.500  0.599
Re  0.500  0.500  0.401

Values from the calculation:
**Total DFT energy (no corrections)**: -112.646 eV per cell
**ΔE_f**: -0.243 eV/atom
**Symmetry**: P4/mmm (123)
**DOS(E_F)**: 2.60 states/eV/f.u.

[2]
A plane-wave DFT calculation with GGA-PBE was carried out for a relaxed NbRe crystal.

Cell lengths 5.304, 5.304, 5.304 Å; angles 90.00, 90.00, 90.00 degrees
Positions (direct):
Nb  0.000  0.500  0.500
Nb  0.000  0.000  0.000
Nb  0.500  0.500  0.000
Nb  0.500  0.000  0.500
Re  0.000  0.000  0.500
Re  0.500  0.000  0.000
Re  0.500  0.500  0.500
Re  0.000  0.500  0.000

Values from the calculation:
**Total DFT energy (no corrections)**: -82.466 eV per cell
**ΔE_f**: 0.951 eV/atom
**Symmetry**: Fm-3m (225)
**DOS(E_F)**: 2.29 states/eV/f.u.

[3]
A plane-wave DFT calculation with GGA-PBE was carried out for a relaxed NbRe crystal.

Cell lengths 7.924, 7.924, 7.924 Å; angles 90.00, 90.00, 90.00 degrees
Positions (direct):
Re  0.626  0.374  0.626
Re  0.374  0.626  0.626
Re  0.126  0.126  0.874
Re  0.374  0.374  0.374
Re  0.874  0.874  0.874
Re  0.626  0.626  0.374
Re  0.126  0.874  0.126
Re  0.874  0.126  0.126
Nb  0.317  0.683  0.317
Nb  0.317  0.317  0.683
Nb  0.817  0.183  0.817
Nb  0.183  0.183  0.183
Nb  0.183  0.817  0.817
Nb  0.817  0.817  0.183
Nb  0.683  0.317  0.317
Nb  0.683  0.683  0.683

Values from the calculation:
**Total DFT energy (no corrections)**: -148.516 eV per cell
**ΔE_f**: 1.977 eV/atom
**Symmetry**: I-43m (217)
**DOS(E_F)**: 3.87 states/eV/f.u.

[4]
A plane-wave DFT calculation with GGA-PBE was carried out for a relaxed NbRe crystal.

Cell lengths 2.791, 2.791, 10.184 Å; angles 90.00, 90.00, 120.00 degrees
Positions (direct):
Nb  0.667  0.333  0.910
Nb  0.333  0.667  0.410
Re  0.333  0.667  0.672
Re  0.667  0.333  0.172

Values from the calculation:
**Total DFT energy (no corrections)**: -42.623 eV per cell
**ΔE_f**: 0.603 eV/atom
**Symmetry**: P6_3mc (186)
**DOS(E_F)**: 2.79 states/eV/f.u.

[5]
A plane-wave DFT calculation with GGA-PBE was carried out for a relaxed Nb7Re crystal.

Cell lengths 4.629, 4.629, 7.358 Å; angles 108.34, 108.34, 90.00 degrees
Positions (direct):
Nb  0.122  0.622  0.244
Nb  0.500  0.500  0.000
Nb  0.251  0.251  0.502
Nb  0.378  0.878  0.756
Nb  0.878  0.378  0.756
Nb  0.749  0.749  0.498
Nb  0.622  0.122  0.244
Re  0.000  0.000  0.000

Values from the calculation:
**Total DFT energy (no corrections)**: -83.871 eV per cell
**ΔE_f**: -0.117 eV/atom
**Symmetry**: I4/mmm (139)
**DOS(E_F)**: 9.38 states/eV/f.u.

[6]
A plane-wave DFT calculation with GGA-PBE was carried out for a relaxed Nb4Re crystal.

Cell lengths 5.075, 6.125, 6.125 Å; angles 90.00, 90.00, 90.00 degrees
Positions (direct):
Nb  0.265  0.840  0.340
Nb  0.265  0.660  0.840
Nb  0.735  0.340  0.840
Nb  0.265  0.340  0.160
Nb  0.735  0.160  0.340
Nb  0.265  0.160  0.660
Nb  0.735  0.840  0.660
Nb  0.735  0.660  0.160
Re  0.000  0.500  0.500
Re  0.000  0.000  0.000

Values from the calculation:
**Energy above the most stable polymorph in this dataset**: 523.0 meV/atom
**Total DFT energy (no corrections)**: -102.075 eV per cell
**ΔE_f**: 0.338 eV/atom
**Symmetry**: P4/nbm (125)
**DOS(E_F)**: 6.02 states/eV/f.u.